Below is crystalline In2CuTe3Br at its relaxed geometry, with properties calculated at the GGA-PBEsol level.

Cell and atoms, written as POSCAR:
```
In2CuTe3Br
1.0
-0.6654 -5.8569 -1.4623
5.7041 -0.9944 1.7125
-4.4987 2.0908 5.4579
Cu Br Te In
1 1 3 2
direct
0.5190 0.5315 0.0110 Cu
0.1448 0.1386 0.7636 Br
0.6243 0.5611 0.7214 Te
0.4156 0.9123 0.2543 Te
0.8189 0.3822 0.2633 Te
0.2524 0.7289 0.4782 In
0.9751 0.9954 0.0082 In
```

Properties
ρ (g cm⁻³): 5.64
Formation energy from raw total energies (kcal/mol of atoms): -6.363
Volume (Å³ per atom): 31.79
E (eV per atom): -3.526